# SCAN Li3SnAs, single point on PBEsol structure
# Magnetic moment (Bohr magnetons per cell): 0.00
# Crystal system: cubic
# Calculated volume (A^3/atom): 20.92
# ΔH_f (0 K) (meV/atom): -222
data_Li3SnAs
_chemical_formula_sum 'Li3 Sn1 As1'
_symmetry_space_group_name_H-M 'P m -3 m'
_symmetry_Int_Tables_number 221
_symmetry_space_group_name_Hall '-P 4 2 3'
_cell_length_a 4.7115
_cell_length_b 4.7115
_cell_length_c 4.7115
_cell_angle_alpha 90.00
_cell_angle_beta 90.00
_cell_angle_gamma 90.00
loop_
_atom_site_label
_atom_site_type_symbol
_atom_site_fract_x
_atom_site_fract_y
_atom_site_fract_z
Li1 Li 0.0000 0.0000 0.5000
Sn1 Sn 0.5000 0.5000 0.5000
As1 As 0.0000 0.0000 0.0000